Compound: PmTmGaSn
Source: Alexandria via LeMat-Bulk
Functional: PBE
Structure: relaxed

The structure belongs to space group Amm2 (No. 38); the cell edges are 4.1790, 4.4966 and 11.2320 Å and the angles 90.00°, 90.00° and 90.00°. Symmetry generates all atoms from Pm at (0.0000, 0.0000, 0.0000), Tm at (0.5000, 0.0000, 0.2780), Ga at (0.5000, 0.0000, 0.5510) and Sn at (0.0000, 0.0000, 0.7174).

For the density of states at the Fermi level, the calculation gives 3.56 states/eV/f.u. The calculation puts the total magnetization at 0.0001 μB/atom. The value obtained for the relative energy among the computed polymorphs is 0 meV/atom. Its formation energy is -65.9 kJ per mole of atoms.

---

Compound: LaP3C
Source: Alexandria via LeMat-Bulk
Functional: PBE
Structure: relaxed

The structure belongs to space group Pm-3m (No. 221); the cell edges are 4.3417, 4.3417 and 4.3417 Å and the angles 90.00°, 90.00° and 90.00°. Symmetry generates all atoms from La at (0.0000, 0.0000, 0.0000), P at (0.0000, 0.5000, 0.5000) and C at (0.5000, 0.5000, 0.5000).

For the density of states at the Fermi level, the calculation gives 3.16 states/eV/f.u. The calculation puts the total magnetization at 0.0000 μB/atom. The value obtained for the relative energy among the computed polymorphs is 0 meV/atom. Its formation energy is 31.7 kJ per mole of atoms.